(1)
This record from Alexandria via LeMat-Bulk describes a relaxed CdCoO3 crystal. The functional is PBEsol.

Calculated values
uncorrected formation energy: -4.62 eV per formula unit
SG: C2/c (15)
total magnetic moment: 4.093 μB per cell
VASP energy: -5.86 eV per atom

Lattice parameters (Å, degrees): 4.986 6.666 6.666 84.68 87.00 87.00
Atoms (fractional coordinates):
Co 0.250 0.754 0.246
Co 0.750 0.246 0.754
Co 0.250 0.078 0.922
Co 0.750 0.922 0.078
O 0.570 0.173 0.019
O 0.070 0.019 0.173
O 0.629 0.501 0.751
O 0.129 0.751 0.501
O 0.545 0.889 0.313
O 0.430 0.827 0.981
O 0.045 0.313 0.889
O 0.371 0.499 0.249
O 0.930 0.981 0.827
O 0.455 0.111 0.687
O 0.955 0.687 0.111
O 0.871 0.249 0.499
Cd 0.210 0.603 0.809
Cd 0.710 0.809 0.603
Cd 0.290 0.191 0.397
Cd 0.790 0.397 0.191

(2)
This record from Alexandria via LeMat-Bulk describes a relaxed CdCoO3 crystal. The functional is PBEsol.

Calculated values
uncorrected formation energy: -4.81 eV per formula unit
SG: R-3 (148)
total magnetic moment: 1.935 μB per cell
VASP energy: -5.90 eV per atom

Lattice parameters (Å, degrees): 5.029 5.029 5.720 63.92 63.92 60.00
Atoms (fractional coordinates):
O 0.968 0.560 0.290
O 0.032 0.440 0.710
O 0.560 0.183 0.290
O 0.817 0.032 0.710
O 0.183 0.968 0.290
O 0.440 0.817 0.710
Co 0.837 0.837 0.488
Co 0.163 0.163 0.512
Cd 0.633 0.633 0.102
Cd 0.367 0.367 0.898

(3)
This record from Alexandria via LeMat-Bulk describes a relaxed CdCo3P8O24 crystal. The functional is PBEsol.

Calculated values
uncorrected formation energy: -66.62 eV per formula unit
SG: C2 (5)
total magnetic moment: 9.000 μB per cell
VASP energy: -7.32 eV per atom

Lattice parameters (Å, degrees): 7.278 7.278 9.732 98.08 111.00 109.45
Atoms (fractional coordinates):
O 0.460 0.000 0.201
O 0.944 0.310 0.091
O 0.216 0.388 0.437
O 0.750 0.683 0.172
O 0.799 0.259 0.799
O 0.052 0.812 0.093
O 0.362 0.300 0.179
O 0.055 0.016 0.319
O 0.125 0.695 0.335
O 0.719 0.959 0.907
O 0.697 0.736 0.681
O 0.547 0.682 0.393
O 0.757 0.348 0.343
O 0.511 0.578 0.828
O 0.121 0.183 0.821
O 0.359 0.790 0.665
O 0.289 0.155 0.607
O 0.463 0.212 0.429
O 0.951 0.779 0.563
O 0.005 0.414 0.657
O 0.280 0.624 0.081
O 0.219 0.853 0.909
O 0.782 0.033 0.571
O 0.543 0.199 0.919
P 0.256 0.199 0.459
P 0.987 0.784 0.233
P 0.520 0.232 0.286
P 0.947 0.235 0.714
P 0.551 0.754 0.767
P 0.757 0.193 0.939
P 0.254 0.817 0.061
P 0.740 0.797 0.541
Co 0.054 0.554 0.500
Co 0.244 0.986 0.746
Co 0.239 0.498 0.254
Cd 0.444 0.444 0.000

(4)
This record from Alexandria via LeMat-Bulk describes a relaxed CdCoP2O crystal. The functional is PBEsol.

Calculated values
uncorrected formation energy: 0.17 eV per formula unit
SG: P4/mmm (123)
total magnetic moment: 0.000 μB per cell
VASP energy: -5.12 eV per atom

Lattice parameters (Å, degrees): 3.355 4.714 4.714 90.00 90.00 90.00
Atoms (fractional coordinates):
P 0.000 0.000 0.500
P 0.000 0.500 0.000
O 0.500 0.000 0.000
Cd 0.500 0.500 0.500
Co 0.000 0.000 0.000

(5)
This record from Alexandria via LeMat-Bulk describes a relaxed CdCo2Os crystal. The functional is PBEsol.

Calculated values
formation energy from the elements: 367 meV/atom
SG: P4mm (99)
total magnetic moment: 2.273 μB per cell
VASP energy: -6.85 eV per atom

Lattice parameters (Å, degrees): 2.690 2.690 7.349 90.00 90.00 90.00
Atoms (fractional coordinates):
Cd 0.500 0.500 0.765
Co 0.500 0.500 0.240
Co 0.000 0.000 0.036
Os 0.000 0.000 0.459

(6)
This record from Alexandria via LeMat-Bulk describes a relaxed Cd2CoOsW crystal. The functional is PBEsol.

Calculated values
formation energy from the elements: 1655 meV/atom
SG: P4/mmm (123)
total magnetic moment: 1.191 μB per cell
VASP energy: -5.58 eV per atom

Lattice parameters (Å, degrees): 4.331 4.583 4.583 90.00 90.00 90.00
Atoms (fractional coordinates):
Cd 0.000 0.000 0.500
Cd 0.000 0.500 0.000
Os 0.500 0.500 0.500
W 0.500 0.000 0.000
Co 0.000 0.000 0.000

(7)
This record from Alexandria via LeMat-Bulk describes a relaxed CdCoP2 crystal. The functional is PBEsol.

Calculated values
formation energy from the elements: 250 meV/atom
SG: Immm (71)
total magnetic moment: 0.000 μB per cell
VASP energy: -4.88 eV per atom

Lattice parameters (Å, degrees): 3.596 4.882 4.769 120.78 112.15 90.00
Atoms (fractional coordinates):
Co 0.000 0.500 0.000
P 0.671 0.671 0.342
P 0.329 0.329 0.658
Cd 0.500 0.000 0.000

(8)
This record from Alexandria via LeMat-Bulk describes a relaxed CdCoP4 crystal. The functional is PBEsol.

Calculated values
formation energy from the elements: 717 meV/atom
SG: F-43m (216)
total magnetic moment: 1.759 μB per cell
VASP energy: -4.63 eV per atom

Lattice parameters (Å, degrees): 5.039 5.039 5.039 60.00 60.00 60.00
Atoms (fractional coordinates):
Co 0.000 0.000 0.000
Cd 0.250 0.250 0.250
P 0.628 0.628 0.116
P 0.628 0.628 0.628
P 0.628 0.116 0.628
P 0.116 0.628 0.628

(9)
This record from Alexandria via LeMat-Bulk describes a relaxed CdCoP2 crystal. The functional is PBEsol.

Calculated values
formation energy from the elements: -4 meV/atom
SG: Pm (6)
total magnetic moment: 0.000 μB per cell
VASP energy: -5.13 eV per atom

Lattice parameters (Å, degrees): 3.504 3.878 5.463 111.63 90.00 90.00
Atoms (fractional coordinates):
P 0.500 0.787 0.186
P 0.000 0.086 0.803
Cd 0.000 0.412 0.464
Co 0.500 0.215 0.048

(10)
This record from Alexandria via LeMat-Bulk describes a relaxed CdCoPRh2 crystal. The functional is PBEsol.

Calculated values
formation energy from the elements: 2068 meV/atom
SG: P4/mmm (123)
total magnetic moment: 4.035 μB per cell
VASP energy: -4.13 eV per atom

Lattice parameters (Å, degrees): 4.475 4.834 4.834 90.00 90.00 90.00
Atoms (fractional coordinates):
Cd 0.000 0.000 0.000
Co 0.500 0.500 0.500
Rh 0.000 0.000 0.500
Rh 0.000 0.500 0.000
P 0.500 0.000 0.000

(11)
This record from Alexandria via LeMat-Bulk describes a relaxed CdCo3Pb crystal. The functional is PBEsol.

Calculated values
formation energy from the elements: 1544 meV/atom
SG: Pm-3m (221)
total magnetic moment: 4.854 μB per cell
VASP energy: -4.14 eV per atom

Lattice parameters (Å, degrees): 4.639 4.639 4.639 90.00 90.00 90.00
Atoms (fractional coordinates):
Co 0.000 0.000 0.500
Co 0.000 0.500 0.000
Co 0.500 0.000 0.000
Cd 0.000 0.000 0.000
Pb 0.500 0.500 0.500

(12)
This record from Alexandria via LeMat-Bulk describes a relaxed Cd2Co2Pb crystal. The functional is PBEsol.

Calculated values
formation energy from the elements: 505 meV/atom
SG: I4/mmm (139)
total magnetic moment: 2.483 μB per cell
VASP energy: -3.87 eV per atom

Lattice parameters (Å, degrees): 3.924 3.924 6.507 107.55 107.55 90.00
Atoms (fractional coordinates):
Cd 0.750 0.250 0.500
Cd 0.250 0.750 0.500
Pb 0.000 0.000 0.000
Co 0.408 0.408 0.816
Co 0.592 0.592 0.184

(13)
This record from Alexandria via LeMat-Bulk describes a relaxed CdCo2TcPd crystal. The functional is PBEsol.

Calculated values
formation energy from the elements: 1722 meV/atom
SG: P4/mmm (123)
total magnetic moment: 7.246 μB per cell
VASP energy: -5.06 eV per atom

Lattice parameters (Å, degrees): 4.448 4.448 4.813 90.00 90.00 90.00
Atoms (fractional coordinates):
Tc 0.500 0.500 0.500
Cd 0.000 0.000 0.500
Pd 0.000 0.000 0.000
Co 0.000 0.500 0.000
Co 0.500 0.000 0.000

(14)
This record from Alexandria via LeMat-Bulk describes a relaxed Cd2CoPt crystal. The functional is PBEsol.

Calculated values
formation energy from the elements: 70 meV/atom
SG: Cmmm (65)
total magnetic moment: 1.190 μB per cell
VASP energy: -4.20 eV per atom

Lattice parameters (Å, degrees): 2.847 4.817 4.817 106.89 90.00 90.00
Atoms (fractional coordinates):
Cd 0.000 0.500 0.000
Cd 0.000 0.000 0.500
Co 0.500 0.000 0.000
Pt 0.500 0.500 0.500

(15)
This record from Alexandria via LeMat-Bulk describes a relaxed CdCo2Pt crystal. The functional is PBEsol.

Calculated values
formation energy from the elements: 144 meV/atom
SG: Pmmm (47)
total magnetic moment: 3.345 μB per cell
VASP energy: -5.76 eV per atom

Lattice parameters (Å, degrees): 2.685 3.683 5.579 90.00 89.99 90.00
Atoms (fractional coordinates):
Cd 0.500 0.500 0.500
Pt 0.500 0.500 0.000
Co 0.000 0.000 0.780
Co 0.000 0.000 0.220

(16)
This record from Alexandria via LeMat-Bulk describes a relaxed CdCoPt4 crystal. The functional is PBEsol.

Calculated values
formation energy from the elements: 206 meV/atom
SG: F-43m (216)
total magnetic moment: 1.970 μB per cell
VASP energy: -5.93 eV per atom

Lattice parameters (Å, degrees): 5.185 5.185 5.185 60.00 60.00 60.00
Atoms (fractional coordinates):
Cd 0.750 0.750 0.750
Pt 0.375 0.375 0.876
Pt 0.375 0.375 0.375
Pt 0.876 0.375 0.375
Pt 0.375 0.876 0.375
Co 0.000 0.000 0.000

(17)
This record from Alexandria via LeMat-Bulk describes a relaxed Cd2CoPt crystal. The functional is PBEsol.

Calculated values
formation energy from the elements: 57 meV/atom
SG: Pmmm (47)
total magnetic moment: 1.115 μB per cell
VASP energy: -4.22 eV per atom

Lattice parameters (Å, degrees): 2.869 3.783 5.786 90.00 90.00 90.00
Atoms (fractional coordinates):
Co 0.500 0.500 0.000
Pt 0.500 0.500 0.500
Cd 0.000 0.000 0.759
Cd 0.000 0.000 0.241

(18)
This record from Alexandria via LeMat-Bulk describes a relaxed CdCoRe2 crystal. The functional is PBEsol.

Calculated values
formation energy from the elements: 544 meV/atom
SG: I4/mmm (139)
total magnetic moment: 0.033 μB per cell
VASP energy: -8.36 eV per atom

Lattice parameters (Å, degrees): 3.691 3.691 4.949 111.89 111.89 90.00
Atoms (fractional coordinates):
Cd 0.500 0.500 0.000
Re 0.750 0.250 0.500
Re 0.250 0.750 0.500
Co 0.000 0.000 0.000

(19)
This record from Alexandria via LeMat-Bulk describes a relaxed CdCo4Re crystal. The functional is PBEsol.

Calculated values
formation energy from the elements: 279 meV/atom
SG: F-43m (216)
total magnetic moment: 0.003 μB per cell
VASP energy: -7.30 eV per atom

Lattice parameters (Å, degrees): 4.650 4.650 4.650 60.00 60.00 60.00
Atoms (fractional coordinates):
Co 0.875 0.375 0.375
Co 0.375 0.875 0.375
Co 0.375 0.375 0.875
Co 0.375 0.375 0.375
Cd 0.000 0.000 0.000
Re 0.750 0.750 0.750

(20)
This record from Alexandria via LeMat-Bulk describes a relaxed CdCoRe2 crystal. The functional is PBEsol.

Calculated values
formation energy from the elements: 471 meV/atom
SG: Cm (8)
total magnetic moment: 0.002 μB per cell
VASP energy: -8.43 eV per atom

Lattice parameters (Å, degrees): 2.654 4.760 4.876 100.49 90.00 106.19
Atoms (fractional coordinates):
Re 0.021 0.042 0.985
Re 0.257 0.515 0.785
Cd 0.488 0.977 0.470
Co 0.734 0.467 0.260

(21)
This record from Alexandria via LeMat-Bulk describes a relaxed CdCoRe2 crystal. The functional is PBEsol.

Calculated values
formation energy from the elements: 644 meV/atom
SG: Cmmm (65)
total magnetic moment: 0.007 μB per cell
VASP energy: -8.26 eV per atom

Lattice parameters (Å, degrees): 2.668 4.939 4.939 117.41 90.00 90.00
Atoms (fractional coordinates):
Cd 0.500 0.000 0.000
Re 0.000 0.500 0.000
Re 0.000 0.000 0.500
Co 0.500 0.500 0.500

(22)
This record from Alexandria via LeMat-Bulk describes a relaxed Zr2CdCoRe crystal. The functional is PBEsol.

Calculated values
formation energy from the elements: 2202 meV/atom
SG: P4/mmm (123)
total magnetic moment: 2.071 μB per cell
VASP energy: -5.89 eV per atom

Lattice parameters (Å, degrees): 4.749 5.059 5.059 90.00 90.00 90.00
Atoms (fractional coordinates):
Co 0.500 0.500 0.500
Re 0.500 0.000 0.000
Zr 0.000 0.000 0.500
Zr 0.000 0.500 0.000
Cd 0.000 0.000 0.000

(23)
This record from Alexandria via LeMat-Bulk describes a relaxed CdCo3Rh crystal. The functional is PBEsol.

Calculated values
formation energy from the elements: 2107 meV/atom
SG: Pm-3m (221)
total magnetic moment: 6.269 μB per cell
VASP energy: -4.40 eV per atom

Lattice parameters (Å, degrees): 4.487 4.487 4.487 90.00 90.00 90.00
Atoms (fractional coordinates):
Co 0.000 0.500 0.000
Co 0.000 0.000 0.500
Co 0.500 0.000 0.000
Cd 0.000 0.000 0.000
Rh 0.500 0.500 0.500

(24)
This record from Alexandria via LeMat-Bulk describes a relaxed ZnCdCo2Rh crystal. The functional is PBEsol.

Calculated values
formation energy from the elements: 1025 meV/atom
SG: P4/mmm (123)
total magnetic moment: 4.450 μB per cell
VASP energy: -4.25 eV per atom

Lattice parameters (Å, degrees): 4.488 4.488 4.625 90.00 90.00 90.00
Atoms (fractional coordinates):
Rh 0.000 0.000 0.000
Cd 0.500 0.500 0.500
Co 0.500 0.000 0.000
Co 0.000 0.500 0.000
Zn 0.000 0.000 0.500

(25)
This record from Alexandria via LeMat-Bulk describes a relaxed CdCoRu2 crystal. The functional is PBEsol.

Calculated values
formation energy from the elements: 356 meV/atom
SG: P4/mmm (123)
total magnetic moment: 0.794 μB per cell
VASP energy: -6.96 eV per atom

Lattice parameters (Å, degrees): 2.681 2.681 7.652 90.00 90.00 90.00
Atoms (fractional coordinates):
Cd 0.500 0.500 0.000
Ru 0.000 0.000 0.286
Ru 0.000 0.000 0.714
Co 0.500 0.500 0.500

(26)
This record from Alexandria via LeMat-Bulk describes a relaxed CdCoS2 crystal. The functional is PBEsol.

Calculated values
uncorrected formation energy: -1.43 eV per formula unit
SG: R-3m (166)
total magnetic moment: 0.000 μB per cell
VASP energy: -4.78 eV per atom

Lattice parameters (Å, degrees): 3.314 3.314 7.584 77.38 77.38 60.00
Atoms (fractional coordinates):
S 0.116 0.116 0.652
S 0.884 0.884 0.348
Cd 0.000 0.000 0.000
Co 0.500 0.500 0.500